Entry 1:
Here is crystalline SrHoSi2 at its relaxed geometry from OQMD. Energies are from PBE.

Calculated values
Total moment (μB per cell): 0.02
Polymorph energy (0 for the lowest one) (meV/atom): 394

Cell and atoms, written as CIF:
```
data_SrHoSi2
_space_group_name_H-M_alt 'C m c m'
_space_group_IT_number 63
_space_group_name_Hall '-C 2c 2'
_cell_length_a 6.0719
_cell_length_b 17.6509
_cell_length_c 4.1749
_cell_angle_alpha 90.00
_cell_angle_beta 90.00
_cell_angle_gamma 90.00
loop_
_atom_site_label
_atom_site_type_symbol
_atom_site_fract_x
_atom_site_fract_y
_atom_site_fract_z
Sr1 Sr 0.0000 0.1801 0.2500
Ho1 Ho 0.0000 0.4219 0.2500
Si1 Si 0.0000 0.0349 0.7500
Si2 Si 0.0000 0.3210 0.7500
```

=====

Entry 2:
Here is crystalline LaSmGe at its relaxed geometry from OQMD. Energies are from PBE.

Calculated values
Total moment (μB per cell): 1.06
Calculated total energy (eV/atom): -4.620

Cell and atoms, written as CIF:
```
data_LaSmGe
_space_group_name_H-M_alt 'F -4 3 m'
_space_group_IT_number 216
_space_group_name_Hall 'F -4 2 3'
_cell_length_a 7.0541
_cell_length_b 7.0541
_cell_length_c 7.0541
_cell_angle_alpha 90.00
_cell_angle_beta 90.00
_cell_angle_gamma 90.00
loop_
_atom_site_label
_atom_site_type_symbol
_atom_site_fract_x
_atom_site_fract_y
_atom_site_fract_z
La1 La 0.0000 0.0000 0.0000
Sm1 Sm 0.2500 0.2500 0.7500
Ge1 Ge 0.0000 0.0000 0.5000
```

=====

Entry 3:
Here is crystalline Pm6TlIn at its relaxed geometry from OQMD. Energies are from PBE.

Calculated values
Total moment (μB per cell): 0.05
Calculated total energy (eV/atom): -4.443

Cell and atoms, written as CIF:
```
data_Pm6TlIn
_space_group_name_H-M_alt 'P 4/m m m'
_space_group_IT_number 123
_space_group_name_Hall '-P 4 2'
_cell_length_a 4.9507
_cell_length_b 4.9507
_cell_length_c 9.9040
_cell_angle_alpha 90.00
_cell_angle_beta 90.00
_cell_angle_gamma 90.00
loop_
_atom_site_label
_atom_site_type_symbol
_atom_site_fract_x
_atom_site_fract_y
_atom_site_fract_z
Pm1 Pm 0.0000 0.0000 0.0000
Pm2 Pm 0.0000 0.0000 0.5000
Pm3 Pm 0.0000 0.5000 0.2485
Tl1 Tl 0.5000 0.5000 0.5000
In1 In 0.5000 0.5000 0.0000
```

=====

Entry 4:
Here is crystalline Hf3As4Pt4 at its relaxed geometry from OQMD. Energies are from PBE.

Calculated values
Total moment (μB per cell): 0.00
Polymorph energy (0 for the lowest one) (meV/atom): 0

Cell and atoms, written as CIF:
```
data_Hf3As4Pt4
_space_group_name_H-M_alt 'I -4 2 m'
_space_group_IT_number 121
_space_group_name_Hall 'I -4 2'
_cell_length_a 6.1748
_cell_length_b 6.1748
_cell_length_c 12.0787
_cell_angle_alpha 90.00
_cell_angle_beta 90.00
_cell_angle_gamma 90.00
loop_
_atom_site_label
_atom_site_type_symbol
_atom_site_fract_x
_atom_site_fract_y
_atom_site_fract_z
Hf1 Hf 0.0000 0.0000 0.0000
Hf2 Hf 0.0000 0.5000 0.2500
As1 As 0.0000 0.0000 0.2602
As2 As 0.0000 0.5000 0.0000
Pt1 Pt 0.2422 0.2422 0.1285
```

=====

Entry 5:
Here is crystalline TbPr2Mg3In3 at its relaxed geometry from OQMD. Energies are from PBE.

Calculated values
Total moment (μB per cell): 0.02
Calculated total energy (eV/atom): -3.418

Cell and atoms, written as CIF:
```
data_TbPr2Mg3In3
_space_group_name_H-M_alt 'A m m 2'
_space_group_IT_number 38
_space_group_name_Hall 'A 2 -2'
_cell_length_a 4.7572
_cell_length_b 13.1943
_cell_length_c 7.7291
_cell_angle_alpha 90.00
_cell_angle_beta 90.00
_cell_angle_gamma 90.00
loop_
_atom_site_label
_atom_site_type_symbol
_atom_site_fract_x
_atom_site_fract_y
_atom_site_fract_z
Tb1 Tb 0.0000 0.0000 0.0000
Pr1 Pr 0.0000 0.2159 0.6470
Mg1 Mg 0.5000 0.0000 0.6702
Mg2 Mg 0.5000 0.1204 0.3091
In1 In 0.0000 0.0000 0.4233
In2 In 0.5000 0.1633 0.9314
```

=====

Entry 6:
Here is crystalline LaDyZn6 at its relaxed geometry from OQMD. Energies are from PBE.

Calculated values
Total moment (μB per cell): 0.00
Formation enthalpy at 0 K (eV per atom): -0.273

Cell and atoms, written as CIF:
```
data_LaDyZn6
_space_group_name_H-M_alt 'P m m 2'
_space_group_IT_number 25
_space_group_name_Hall 'P 2 -2'
_cell_length_a 4.7723
_cell_length_b 6.7486
_cell_length_c 4.7738
_cell_angle_alpha 90.00
_cell_angle_beta 90.00
_cell_angle_gamma 90.00
loop_
_atom_site_label
_atom_site_type_symbol
_atom_site_fract_x
_atom_site_fract_y
_atom_site_fract_z
La1 La 0.0000 0.0000 0.0000
Dy1 Dy 0.5000 0.5000 0.4929
Zn1 Zn 0.0000 0.2636 0.5006
Zn2 Zn 0.0000 0.5000 0.9990
Zn3 Zn 0.5000 0.0000 0.4965
Zn4 Zn 0.5000 0.2637 0.9927
```

=====

Entry 7:
Here is crystalline PrEr at its relaxed geometry from OQMD. Energies are from PBE.

Calculated values
Total moment (μB per cell): 0.40
Polymorph energy (0 for the lowest one) (meV/atom): 1662
Formation enthalpy at 0 K (eV per atom): 1.705

Cell and atoms, written as CIF:
```
data_PrEr
_space_group_name_H-M_alt 'F -4 3 m'
_space_group_IT_number 216
_space_group_name_Hall 'F -4 2 3'
_cell_length_a 7.0712
_cell_length_b 7.0712
_cell_length_c 7.0712
_cell_angle_alpha 90.00
_cell_angle_beta 90.00
_cell_angle_gamma 90.00
loop_
_atom_site_label
_atom_site_type_symbol
_atom_site_fract_x
_atom_site_fract_y
_atom_site_fract_z
Pr1 Pr 0.0000 0.0000 0.0000
Er1 Er 0.2500 0.2500 0.2500
```

=====

Entry 8:
Here is crystalline Y4Zr2Ga3N3 at its relaxed geometry from OQMD. Energies are from PBE.

Calculated values
Total moment (μB per cell): 0.00
Calculated total energy (eV/atom): -7.535

Cell and atoms, written as CIF:
```
data_Y4Zr2Ga3N3
_space_group_name_H-M_alt 'C 1 2/c 1'
_space_group_IT_number 15
_space_group_name_Hall '-C 2yc'
_cell_length_a 10.3313
_cell_length_b 5.9651
_cell_length_c 14.7295
_cell_angle_alpha 90.00
_cell_angle_beta 103.75
_cell_angle_gamma 90.00
loop_
_atom_site_label
_atom_site_type_symbol
_atom_site_fract_x
_atom_site_fract_y
_atom_site_fract_z
Y1 Y 0.1163 0.0785 0.0990
Y2 Y 0.2144 0.0872 0.4011
Zr1 Zr 0.0599 0.4134 0.9215
Ga1 Ga 0.0000 0.1512 0.7500
Ga2 Ga 0.1316 0.4528 0.2490
N1 N 0.0809 0.2573 0.5000
N2 N 0.2500 0.2500 0.0000
```

=====

- Among the records above, which one has the highest total moment?
  LaSmGe